Record 1
Density functional theory data (GGA-PBE) for NdMgCuTe2Se after structural relaxation.

The value obtained for the magnetic moment is 0.0 μB per formula unit. The uncorrected energy comes out at -4.17 eV/atom. As for the volume: 25.929 Å³ per atom.

Cell lengths 7.1343, 7.1343, 11.1270 Å; angles 90.00, 90.00, 146.67 degrees
Fractional coordinates of all 12 atoms:
Cu1 0.4806 0.5194 0.7500
Nd1 0.0000 0.0000 0.5000
Mg1 0.7427 0.2573 0.7500
Nd2 0.0000 0.0000 0.0000
Cu2 0.5194 0.4806 0.2500
Te1 0.6574 0.3426 0.0841
Se1 0.0922 0.9078 0.7500
Te2 0.3426 0.6574 0.9159
Te3 0.3426 0.6574 0.5841
Te4 0.6574 0.3426 0.4159
Mg2 0.2573 0.7427 0.2500
Se2 0.9078 0.0922 0.2500

Record 2
Density functional theory data (GGA-PBE) for Nb2AsP after structural relaxation.

The value obtained for the magnetic moment is 0.0 μB per formula unit. The uncorrected energy comes out at -8.39 eV/atom. As for the volume: 16.897 Å³ per atom.

Cell lengths 6.2790, 6.2790, 6.2790 Å; angles 148.66, 148.22, 45.23 degrees
Fractional coordinates of all 4 atoms:
P1 0.8322 0.3322 0.5000
Nb1 0.2545 0.7545 0.5000
Nb2 0.9958 0.9958 0.0000
As1 0.5826 0.5826 0.0000

Record 3
Density functional theory data (GGA-PBE) for MgZnTeO after structural relaxation.

The uncorrected energy comes out at -3.76 eV/atom. The energy above the most stable polymorph in this dataset is 256.7 meV/atom. As for the volume: 17.868 Å³ per atom.

Cell lengths 8.0624, 8.5306, 8.3136 Å; angles 90.00, 90.00, 90.00 degrees
Fractional coordinates of all 32 atoms:
Te1 0.0000 0.2499 0.0038
Te2 0.5000 0.7499 0.0038
Mg1 0.9996 0.4999 0.2499
Zn1 0.7500 0.7499 0.7490
Te3 0.5000 0.7501 0.5038
O1 0.7504 0.0000 0.2498
Zn2 0.2500 0.2501 0.2510
Zn3 0.7500 0.7501 0.2490
Te4 0.0000 0.7499 0.4962
Zn4 0.2500 0.7501 0.2510
Te5 0.5000 0.2501 0.9962
O2 0.7496 0.0000 0.7498
O3 0.7504 0.5000 0.7498
O4 0.2504 0.5000 0.7502
O5 0.2504 0.0000 0.2502
O6 0.2496 0.5000 0.2502
Te6 0.0000 0.2501 0.5038
Zn5 0.7500 0.2501 0.2490
Zn6 0.7500 0.2499 0.7490
Mg2 0.0004 0.9999 0.2501
Mg3 0.9996 0.0001 0.7499
Mg4 0.0004 0.5001 0.7501
Mg5 0.4996 0.0001 0.7501
O7 0.2496 0.0000 0.7502
Mg6 0.4996 0.4999 0.2501
Te7 0.5000 0.2499 0.4962
Zn7 0.2500 0.2499 0.7510
Mg7 0.5004 0.9999 0.2499
O8 0.7496 0.5000 0.2498
Zn8 0.2500 0.7499 0.7510
Mg8 0.5004 0.5001 0.7499
Te8 0.0000 0.7501 0.9962

Record 4
Density functional theory data (GGA-PBE) for TbYZn2Si2 after structural relaxation.

The value obtained for the magnetic moment is 0.0 μB per formula unit. The uncorrected energy comes out at -4.73 eV/atom. As for the volume: 19.664 Å³ per atom.

Cell lengths 4.1370, 4.1370, 15.9206 Å; angles 90.00, 90.00, 120.00 degrees
Fractional coordinates of all 12 atoms:
Y1 0.0000 0.0000 0.7500
Y2 0.0000 0.0000 0.2500
Tb1 0.0000 0.0000 0.5000
Zn1 0.6667 0.3333 0.8645
Zn2 0.3333 0.6667 0.3645
Si1 0.6667 0.3333 0.3808
Si2 0.3333 0.6667 0.6192
Si3 0.3333 0.6667 0.8808
Zn3 0.3333 0.6667 0.1355
Tb2 0.0000 0.0000 0.0000
Zn4 0.6667 0.3333 0.6355
Si4 0.6667 0.3333 0.1192

Record 5
Density functional theory data (GGA-PBE) for Zr2CdO4 after structural relaxation.

The value obtained for the magnetic moment is 0.0 μB per formula unit. The uncorrected energy comes out at -7.77 eV/atom. As for the volume: 14.794 Å³ per atom.

Cell lengths 6.6404, 6.6404, 6.6404 Å; angles 119.98, 90.03, 119.98 degrees
Fractional coordinates of all 14 atoms:
Zr1 0.3750 0.2500 0.6250
Zr2 0.8750 0.2500 0.6250
Cd1 0.7500 0.5000 0.2500
O1 0.1447 0.2895 0.4342
O2 0.1447 0.7105 0.8552
Zr3 0.3750 0.7500 0.6250
Cd2 0.0000 0.0000 0.0000
O3 0.6053 0.7895 0.3948
O4 0.5658 0.7105 0.8553
O5 0.6052 0.2105 0.3947
Zr4 0.3750 0.7500 0.1250
O6 0.6053 0.2105 0.8158
O7 0.1842 0.7895 0.3947
O8 0.1448 0.2895 0.8553

Record 6
Density functional theory data (GGA-PBE) for TbBeRe after structural relaxation.

The value obtained for the magnetic moment is 0.0 μB per formula unit. The uncorrected energy comes out at -6.36 eV/atom. As for the volume: 17.967 Å³ per atom.

Cell lengths 4.2400, 4.2400, 4.2400 Å; angles 60.00, 60.00, 60.00 degrees
Fractional coordinates of all 3 atoms:
Be1 0.0000 0.0000 0.0000
Re1 0.2500 0.2500 0.2500
Tb1 0.7500 0.7500 0.7500

Record 7
Density functional theory data (GGA-PBE) for HfTlAu2 after structural relaxation.

The value obtained for the magnetic moment is 0.0 μB per formula unit. The uncorrected energy comes out at -4.78 eV/atom. As for the volume: 19.854 Å³ per atom.

Cell lengths 4.8247, 4.8247, 4.8247 Å; angles 60.00, 60.00, 60.00 degrees
Fractional coordinates of all 4 atoms:
Au1 0.0000 0.0000 0.0000
Hf1 0.2500 0.2500 0.2500
Tl1 0.5000 0.5000 0.5000
Au2 0.7500 0.7500 0.7500

Record 8
Density functional theory data (GGA-PBE) for LuSc2P3 after structural relaxation.

The value obtained for the magnetic moment is 0.0 μB per formula unit. The uncorrected energy comes out at -7.09 eV/atom. As for the volume: 19.541 Å³ per atom.

Cell lengths 3.8125, 3.8125, 9.3144 Å; angles 90.00, 90.00, 120.00 degrees
Fractional coordinates of all 6 atoms:
Sc1 0.3333 0.6667 0.8373
Lu1 0.0000 0.0000 0.5000
P1 0.0000 0.0000 0.0000
P2 0.6667 0.3333 0.6753
P3 0.3333 0.6667 0.3247
Sc2 0.6667 0.3333 0.1627